DFT (SCAN) results for a crystal of Tl2SiAu relaxed with PBEsol.

Values from the calculation:
total energy: -223.4 eV per cell
E_form (uncorrected): 0.120 eV/atom
energy above the lowest structure with this stoichiometry: 123 meV per atom
size of the total moment: 0.0 Bohr magnetons per cell

Cell: 3.336 3.336 8.209 Å, 90.00 90.00 90.00°
Space group P4mm (No. 99)
Unique sites:
Tl  0.000  0.000  0.000 (multiplicity 1)
Tl  0.500  0.500  0.330 (multiplicity 1)
Si  0.500  0.500  0.728 (multiplicity 1)
Au  0.000  0.000  0.604 (multiplicity 1)

DFT (SCAN) results for a crystal of SbTe2Pt relaxed with PBEsol.

Values from the calculation:
total energy: -547.1 eV per cell
E_form (uncorrected): -0.107 eV/atom
size of the total moment: 0.0 Bohr magnetons per cell

Cell: 3.8978 3.8978 26.7496 Å, 90.00 90.00 120.00°
Space group R-3m (No. 166, hexagonal axes)
Unique sites:
Sb  0.0000  0.0000  0.0000 (multiplicity 3)
Te  0.0000  0.0000  0.1129 (multiplicity 6)
Pt  0.0000  0.0000  0.5000 (multiplicity 3)

DFT (SCAN) results for a crystal of K2HN relaxed with PBEsol.

Values from the calculation:
total energy: -109.2 eV per cell
size of the total moment: 8.0 Bohr magnetons per cell

Cell: 6.711 6.711 6.711 Å, 90.00 90.00 90.00°
Space group Fm-3m (No. 225)
Unique sites:
K  0.250  0.250  0.250 (multiplicity 8)
H  0.000  0.000  0.000 (multiplicity 4)
N  0.000  0.000  0.500 (multiplicity 4)

- Which formula does entry 3 have?
  K2HN

Copy entry 1 word for word.
DFT (SCAN) results for a crystal of Tl2SiAu relaxed with PBEsol.

Values from the calculation:
total energy: -223.4 eV per cell
E_form (uncorrected): 0.120 eV/atom
energy above the lowest structure with this stoichiometry: 123 meV per atom
size of the total moment: 0.0 Bohr magnetons per cell

Cell: 3.336 3.336 8.209 Å, 90.00 90.00 90.00°
Space group P4mm (No. 99)
Unique sites:
Tl  0.000  0.000  0.000 (multiplicity 1)
Tl  0.500  0.500  0.330 (multiplicity 1)
Si  0.500  0.500  0.728 (multiplicity 1)
Au  0.000  0.000  0.604 (multiplicity 1)